<P>
DFT (SCAN) results for a PBEsol-optimized structure of NaTiAsBr2.

extended XYZ file:
```
5
Lattice="5.1623 0.0000 0.0000 0.0000 5.1623 0.0000 0.0000 0.0000 4.8879" Properties=species:S:1:pos:R:3 pbc="T T T"
Na 0.0000 0.0000 0.0000
Ti 2.5812 2.5812 2.4439
As 2.5812 2.5812 0.0000
Br 0.0000 2.5812 2.4439
Br 2.5812 0.0000 2.4439
```

Values from the calculation:
- Crystal system: tetragonal
- Fermi-level density of states: 2.33 states/eV/cell


<Q>
DFT (SCAN) results for a PBEsol-optimized structure of NaTiAsBr2.

extended XYZ file:
```
5
Lattice="4.9988 0.0000 0.0000 0.0000 4.9988 0.0000 0.0000 0.0000 5.3718" Properties=species:S:1:pos:R:3 pbc="T T T"
Na 0.0000 0.0000 0.0000
Ti 2.4994 2.4994 2.6859
As 0.0000 0.0000 2.6859
Br 0.0000 2.4994 0.0000
Br 2.4994 0.0000 0.0000
```

Values from the calculation:
- Crystal system: tetragonal
- Fermi-level density of states: 1.68 states/eV/cell


Stability, highest: <P>


<P>
DFT (SCAN) results for a PBEsol-optimized structure of NbAsSe2Br.

extended XYZ file:
```
5
Lattice="4.8961 0.0000 0.0000 0.0000 4.8961 0.0000 0.0000 0.0000 4.9843" Properties=species:S:1:pos:R:3 pbc="T T T"
Nb 0.0000 0.0000 0.0000
As 2.4481 2.4481 0.0000
Se 0.0000 2.4481 2.4921
Se 2.4481 0.0000 2.4921
Br 2.4481 2.4481 2.4921
```

Values from the calculation:
- Crystal system: tetragonal
- Fermi-level density of states: 3.31 states/eV/cell


<Q>
DFT (SCAN) results for a PBEsol-optimized structure of NbAsSe2Br.

extended XYZ file:
```
5
Lattice="4.9866 0.0000 0.0000 0.0000 4.9866 0.0000 0.0000 0.0000 4.9049" Properties=species:S:1:pos:R:3 pbc="T T T"
Nb 0.0000 0.0000 0.0000
As 2.4933 2.4933 2.4525
Se 0.0000 2.4933 2.4525
Se 2.4933 0.0000 2.4525
Br 2.4933 2.4933 0.0000
```

Values from the calculation:
- Crystal system: tetragonal
- Fermi-level density of states: 3.05 states/eV/cell


Stability, highest: <Q>


<P>
DFT (SCAN) results for a PBEsol-optimized structure of As2SeBrO.

extended XYZ file:
```
5
Lattice="4.5803 0.0000 0.0000 0.0000 4.5803 0.0000 0.0000 0.0000 4.3607" Properties=species:S:1:pos:R:3 pbc="T T T"
As 0.0000 2.2901 0.0000
As 2.2901 0.0000 0.0000
Se 0.0000 0.0000 2.1804
Br 2.2901 2.2901 2.1804
O 0.0000 0.0000 0.0000
```

Values from the calculation:
- Crystal system: tetragonal
- Fermi-level density of states: 3.31 states/eV/cell


<Q>
DFT (SCAN) results for a PBEsol-optimized structure of As2SeBrO.

extended XYZ file:
```
5
Lattice="5.1041 0.0000 0.0000 0.0000 5.1041 0.0000 0.0000 0.0000 5.0506" Properties=species:S:1:pos:R:3 pbc="T T T"
As 0.0000 2.5521 0.0000
As 2.5521 0.0000 0.0000
Se 0.0000 0.0000 2.5253
Br 0.0000 0.0000 0.0000
O 2.5521 2.5521 2.5253
```

Values from the calculation:
- Crystal system: tetragonal
- Fermi-level density of states: 4.00 states/eV/cell


Stability, highest: <P>


<P>
DFT (SCAN) results for a PBEsol-optimized structure of As2OsSeBr.

extended XYZ file:
```
5
Lattice="4.9102 0.0000 0.0000 0.0000 4.9102 0.0000 0.0000 0.0000 4.8519" Properties=species:S:1:pos:R:3 pbc="T T T"
As 0.0000 2.4551 0.0000
As 2.4551 0.0000 0.0000
Os 0.0000 0.0000 2.4260
Se 2.4551 2.4551 0.0000
Br 2.4551 2.4551 2.4260
```

Values from the calculation:
- Crystal system: tetragonal
- Fermi-level density of states: 3.41 states/eV/cell


<Q>
DFT (SCAN) results for a PBEsol-optimized structure of As2OsSeBr.

extended XYZ file:
```
5
Lattice="4.7135 0.0000 0.0000 0.0000 4.7135 0.0000 0.0000 0.0000 5.0271" Properties=species:S:1:pos:R:3 pbc="T T T"
As 0.0000 2.3567 0.0000
As 2.3567 0.0000 0.0000
Os 0.0000 0.0000 0.0000
Se 2.3567 2.3567 2.5135
Br 0.0000 0.0000 2.5135
```

Values from the calculation:
- Crystal system: tetragonal
- Fermi-level density of states: 4.06 states/eV/cell


Stability, highest: <Q>


<P>
DFT (SCAN) results for a PBEsol-optimized structure of As2PbBr.

extended XYZ file:
```
4
Lattice="0.0000 3.5672 3.5672 3.5672 0.0000 3.5672 3.5672 3.5672 0.0000" Properties=species:S:1:pos:R:3 pbc="T T T"
As 0.0000 0.0000 0.0000
As 1.7836 1.7836 1.7836
Pb 3.5672 3.5672 3.5672
Br 5.3509 5.3509 5.3509
```

Values from the calculation:
- Crystal system: cubic
- Fermi-level density of states: 1.69 states/eV/cell


<Q>
DFT (SCAN) results for a PBEsol-optimized structure of As2PbBr.

extended XYZ file:
```
4
Lattice="1.6927 0.9773 9.2926 -1.6927 0.9773 9.2926 0.0000 -1.9545 9.2926" Properties=species:S:1:pos:R:3 pbc="T T T"
As 0.0000 0.0000 6.8955
As 0.0000 0.0000 20.9822
Pb 0.0000 0.0000 0.0000
Br 0.0000 0.0000 13.9388
```

Values from the calculation:
- Crystal system: trigonal
- Fermi-level density of states: 2.24 states/eV/cell


Stability, highest: <P>


<P>
DFT (SCAN) results for a PBEsol-optimized structure of As2PtBr.

extended XYZ file:
```
4
Lattice="2.9715 0.0000 0.0000 0.0000 2.9715 0.0000 0.0000 0.0000 9.5341" Properties=species:S:1:pos:R:3 pbc="T T T"
As 0.0000 0.0000 1.6643
As 0.0000 0.0000 7.8698
Pt 1.4858 1.4858 0.0000
Br 1.4858 1.4858 4.7670
```

Values from the calculation:
- Crystal system: tetragonal
- Fermi-level density of states: 1.26 states/eV/cell


<Q>
DFT (SCAN) results for a PBEsol-optimized structure of As2PtBr.

extended XYZ file:
```
4
Lattice="1.9099 1.1027 6.7130 -1.9099 1.1027 6.7130 0.0000 -2.2053 6.7130" Properties=species:S:1:pos:R:3 pbc="T T T"
As 0.0000 0.0000 4.5386
As 0.0000 0.0000 15.6005
Pt 0.0000 0.0000 10.0696
Br 0.0000 0.0000 0.0000
```

Values from the calculation:
- Crystal system: trigonal
- Fermi-level density of states: 2.20 states/eV/cell


<R>
DFT (SCAN) results for a PBEsol-optimized structure of As2PtBr.

extended XYZ file:
```
4
Lattice="-1.5033 2.4089 5.3300 1.5033 -2.4089 5.3300 1.5033 2.4089 -5.3300" Properties=species:S:1:pos:R:3 pbc="T T T"
As 0.0000 0.0000 2.1320
As 0.0000 0.0000 8.5280
Pt 1.5033 0.0000 0.0000
Br 0.0000 2.4089 0.0000
```

Values from the calculation:
- Crystal system: orthorhombic
- Fermi-level density of states: 3.19 states/eV/cell


Stability, highest: <Q>


<P>
DFT (SCAN) results for a PBEsol-optimized structure of AsPtBr2.

extended XYZ file:
```
4
Lattice="3.3472 0.0000 0.0000 0.0000 3.3472 0.0000 0.0000 0.0000 6.8836" Properties=species:S:1:pos:R:3 pbc="T T T"
As 0.0000 0.0000 0.0000
Pt 0.0000 0.0000 3.4418
Br 1.6736 1.6736 1.7716
Br 1.6736 1.6736 5.1120
```

Values from the calculation:
- Crystal system: tetragonal
- Fermi-level density of states: 1.84 states/eV/cell


<Q>
DFT (SCAN) results for a PBEsol-optimized structure of AsPtBr2.

extended XYZ file:
```
8
Lattice="-2.2844 2.2844 8.4848 2.2844 -2.2844 8.4848 2.2844 2.2844 -8.4848" Properties=species:S:1:pos:R:3 pbc="T T T"
As 0.0000 0.0000 0.0000
As 0.0000 2.2844 4.2424
Pt 2.2844 0.0000 4.2424
Pt 0.0000 0.0000 8.4848
Br 1.1422 -1.0859 6.3636
Br 1.1985 1.1422 2.1212
Br 1.1422 3.3703 -2.1212
Br 1.0859 1.1422 10.6060
```

Values from the calculation:
- Crystal system: tetragonal
- Fermi-level density of states: 3.95 states/eV/cell


<R>
DFT (SCAN) results for a PBEsol-optimized structure of AsPtBr2.

extended XYZ file:
```
4
Lattice="3.1293 0.0000 0.0000 0.0000 4.4225 0.0000 0.0000 0.0000 5.7780" Properties=species:S:1:pos:R:3 pbc="T T T"
As 0.0000 0.0000 0.0000
Pt 1.5646 0.0000 2.8890
Br 0.0000 2.2113 2.8890
Br 1.5646 2.2113 0.0000
```

Values from the calculation:
- Crystal system: orthorhombic
- Fermi-level density of states: 1.36 states/eV/cell


Stability, highest: <R>


<P>
DFT (SCAN) results for a PBEsol-optimized structure of ZrReAsBr2.

extended XYZ file:
```
5
Lattice="5.1136 0.0000 0.0000 0.0000 5.1136 0.0000 0.0000 0.0000 5.3316" Properties=species:S:1:pos:R:3 pbc="T T T"
Zr 0.0000 0.0000 0.0000
Re 2.5568 2.5568 2.6658
As 0.0000 0.0000 2.6658
Br 0.0000 2.5568 0.0000
Br 2.5568 0.0000 0.0000
```

Values from the calculation:
- Crystal system: tetragonal
- Fermi-level density of states: 1.74 states/eV/cell


<Q>
DFT (SCAN) results for a PBEsol-optimized structure of ZrReAsBr2.

extended XYZ file:
```
5
Lattice="4.9856 0.0000 0.0000 0.0000 4.9856 0.0000 0.0000 0.0000 4.7315" Properties=species:S:1:pos:R:3 pbc="T T T"
Zr 0.0000 0.0000 0.0000
Re 2.4928 2.4928 2.3657
As 2.4928 2.4928 0.0000
Br 0.0000 2.4928 2.3657
Br 2.4928 0.0000 2.3657
```

Values from the calculation:
- Crystal system: tetragonal
- Fermi-level density of states: 4.15 states/eV/cell


Stability, highest: <P>


<P>
DFT (SCAN) results for a PBEsol-optimized structure of AsRh2Br.

extended XYZ file:
```
4
Lattice="-1.5887 1.7299 6.3065 1.5887 -1.7299 6.3065 1.5887 1.7299 -6.3065" Properties=species:S:1:pos:R:3 pbc="T T T"
As 0.0000 0.0000 0.0000
Rh 0.0000 0.0000 5.4953
Rh 0.0000 1.7299 1.5740
Br 1.5887 0.0000 3.2224
```

Values from the calculation:
- Crystal system: orthorhombic
- Fermi-level density of states: 2.55 states/eV/cell


<Q>
DFT (SCAN) results for a PBEsol-optimized structure of AsRh2Br.

extended XYZ file:
```
4
Lattice="0.0000 3.1303 3.1303 3.1303 0.0000 3.1303 3.1303 3.1303 0.0000" Properties=species:S:1:pos:R:3 pbc="T T T"
As 0.0000 0.0000 0.0000
Rh 1.5651 1.5651 1.5651
Rh 4.6954 4.6954 4.6954
Br 3.1303 3.1303 3.1303
```

Values from the calculation:
- Crystal system: cubic
- Fermi-level density of states: 5.74 states/eV/cell


<R>
DFT (SCAN) results for a PBEsol-optimized structure of AsRh2Br.

extended XYZ file:
```
4
Lattice="0.0000 3.1751 3.1751 3.1751 0.0000 3.1751 3.1751 3.1751 0.0000" Properties=species:S:1:pos:R:3 pbc="T T T"
As 0.0000 0.0000 0.0000
Rh 1.5875 1.5875 1.5875
Rh 3.1751 3.1751 3.1751
Br 4.7626 4.7626 4.7626
```

Values from the calculation:
- Crystal system: cubic
- Fermi-level density of states: 1.76 states/eV/cell


Stability, highest: <P>


<P>
DFT (SCAN) results for a PBEsol-optimized structure of As2RhBr.

extended XYZ file:
```
4
Lattice="-1.5004 2.2793 5.3663 1.5004 -2.2793 5.3663 1.5004 2.2793 -5.3663" Properties=species:S:1:pos:R:3 pbc="T T T"
As 0.0000 0.0000 2.0978
As 0.0000 0.0000 8.6348
Rh 1.5004 0.0000 0.0000
Br 0.0000 2.2793 0.0000
```

Values from the calculation:
- Crystal system: orthorhombic
- Fermi-level density of states: 1.80 states/eV/cell


<Q>
DFT (SCAN) results for a PBEsol-optimized structure of As2RhBr.

extended XYZ file:
```
4
Lattice="4.2017 -1.6971 0.0000 4.2017 1.6971 0.0000 -2.2221 0.0000 6.3541" Properties=species:S:1:pos:R:3 pbc="T T T"
As 0.0000 0.0000 0.0000
As -0.4590 0.0000 4.8391
Rh 5.9903 0.0000 0.4006
Br 2.1420 0.0000 2.3438
```

Values from the calculation:
- Crystal system: monoclinic
- Fermi-level density of states: 0.23 states/eV/cell


<R>
DFT (SCAN) results for a PBEsol-optimized structure of As2RhBr.

extended XYZ file:
```
4
Lattice="2.4883 -4.5988 0.0000 2.4883 4.5988 0.0000 0.0000 0.0000 3.3414" Properties=species:S:1:pos:R:3 pbc="T T T"
As 2.4883 2.7957 0.0000
As 2.4883 -2.7957 0.0000
Rh 0.0000 0.0000 1.6707
Br 2.4883 0.0000 1.6707
```

Values from the calculation:
- Crystal system: orthorhombic
- Fermi-level density of states: 1.63 states/eV/cell


<S>
DFT (SCAN) results for a PBEsol-optimized structure of As2RhBr.

extended XYZ file:
```
4
Lattice="3.2971 0.0000 0.0000 0.0000 3.2971 0.0000 0.0000 0.0000 7.0678" Properties=species:S:1:pos:R:3 pbc="T T T"
As 0.0000 0.0000 0.0000
As 1.6486 1.6486 1.4929
Rh 1.6486 1.6486 6.0084
Br 0.0000 0.0000 4.1129
```

Values from the calculation:
- Crystal system: tetragonal
- Fermi-level density of states: 2.45 states/eV/cell


Stability, highest: <Q>


<P>
DFT (SCAN) results for a PBEsol-optimized structure of AsRuBr2.

extended XYZ file:
```
4
Lattice="-1.5667 2.1204 6.8920 1.5667 -2.1204 6.8920 1.5667 2.1204 -6.8920" Properties=species:S:1:pos:R:3 pbc="T T T"
As 0.0000 0.0000 0.0000
Ru 0.0000 0.0000 6.8920
Br 1.5667 0.0000 4.8319
Br 0.0000 2.1204 2.0600
```

Values from the calculation:
- Crystal system: orthorhombic
- Fermi-level density of states: 1.31 states/eV/cell


<Q>
DFT (SCAN) results for a PBEsol-optimized structure of AsRuBr2.

extended XYZ file:
```
4
Lattice="3.1127 0.0000 0.0000 0.0000 4.3967 0.0000 0.0000 0.0000 5.5704" Properties=species:S:1:pos:R:3 pbc="T T T"
As 0.0000 0.0000 0.0000
Ru 1.5563 0.0000 2.7852
Br 0.0000 2.1983 2.7852
Br 1.5563 2.1983 0.0000
```

Values from the calculation:
- Crystal system: orthorhombic
- Fermi-level density of states: 2.25 states/eV/cell


Stability, highest: <P>


<P>
DFT (SCAN) results for a PBEsol-optimized structure of AsRuBr2.

extended XYZ file:
```
4
Lattice="7.0916 -1.5899 0.0000 7.0916 1.5899 0.0000 -0.7680 0.0000 4.0449" Properties=species:S:1:pos:R:3 pbc="T T T"
As 0.0000 0.0000 0.0000
Ru 6.7076 0.0000 2.0225
Br 1.5908 0.0000 2.8375
Br 11.8244 0.0000 1.2075
```

Values from the calculation:
- Crystal system: monoclinic
- Fermi-level density of states: 2.10 states/eV/cell


<Q>
DFT (SCAN) results for a PBEsol-optimized structure of AsRuBr2.

extended XYZ file:
```
8
Lattice="-4.5742 4.5742 2.3164 4.5742 -4.5742 2.3164 4.5742 4.5742 -2.3164" Properties=species:S:1:pos:R:3 pbc="T T T"
As 0.0000 0.0000 0.0000
As 0.0000 4.5742 1.1582
Ru 4.5742 0.0000 1.1582
Ru 0.0000 0.0000 2.3164
Br 2.2871 3.5815 -0.5791
Br 5.5670 2.2871 0.5791
Br 2.2871 0.9927 1.7373
Br -0.9927 2.2871 2.8954
```

Values from the calculation:
- Crystal system: tetragonal
- Fermi-level density of states: 4.21 states/eV/cell


<R>
DFT (SCAN) results for a PBEsol-optimized structure of AsRuBr2.

extended XYZ file:
```
4
Lattice="1.4524 0.8385 11.7470 -1.4524 0.8385 11.7470 0.0000 -1.6771 11.7470" Properties=species:S:1:pos:R:3 pbc="T T T"
As 0.0000 0.0000 0.0000
Ru 0.0000 0.0000 17.6205
Br 0.0000 0.0000 15.2724
Br 0.0000 0.0000 19.9686
```

Values from the calculation:
- Crystal system: trigonal
- Fermi-level density of states: 3.12 states/eV/cell


Stability, highest: <Q>